# 1
{"formula": "MnTe2As", "functional": "PBE", "state": "optimized geometry", "cell": [[5.075, 0.000, 0.000], [0.000, 5.075, 0.000], [0.000, 0.000, 3.569]], "species": ["As", "Te", "Te", "Mn"], "fractional_positions": [[0.500, 0.000, 0.500], [0.000, 0.000, 0.000], [0.500, 0.500, 0.000], [0.000, 0.500, 0.500]], "n_ef_per_ev_atom": 0.672, "total_energy_ev_per_atom": -4.656, "raw_formation_energy_ev_per_atom": 0.369}

# 2
{"formula": "Mn2TeAs", "functional": "PBE", "state": "optimized geometry", "cell": [[6.548, -0.137, -0.218], [4.790, 4.467, 0.218], [-5.652, -2.210, 2.474]], "species": ["Mn", "Mn", "As", "Te"], "fractional_positions": [[0.767, 0.267, 0.500], [0.067, 0.067, 0.000], [0.210, 0.710, 0.500], [0.456, 0.456, 0.000]], "n_ef_per_ev_atom": 0.661, "de_polymorph_mev_per_atom": 67, "total_energy_ev_per_atom": -6.524, "raw_formation_energy_ev_per_atom": 0.009}

# 3
{"formula": "MnTe2As2", "functional": "PBE", "state": "optimized geometry", "cell": [[-1.116, 6.175, -1.137], [-6.013, -0.718, 1.999], [1.725, 1.358, 5.678]], "species": ["As", "As", "As", "As", "Te", "Te", "Te", "Te", "Mn", "Mn"], "fractional_positions": [[0.358, 0.858, 0.000], [0.642, 0.142, 0.000], [0.858, 0.642, 0.000], [0.142, 0.358, 0.000], [0.165, 0.335, 0.500], [0.835, 0.665, 0.500], [0.335, 0.835, 0.500], [0.665, 0.165, 0.500], [0.000, 0.000, 0.000], [0.500, 0.500, 0.000]], "n_ef_per_ev_atom": 0.530, "de_polymorph_mev_per_atom": 0, "total_energy_ev_per_atom": -4.832, "raw_formation_energy_ev_per_atom": 0.118}

# 4
{"formula": "MnTe2As", "functional": "PBE", "state": "optimized geometry", "cell": [[-2.305, 1.905, 5.544], [-5.860, -0.567, -2.242], [-4.245, -4.739, 3.442]], "species": ["Te", "Te", "Te", "Te", "Mn", "Mn", "As", "As"], "fractional_positions": [[0.375, 0.430, 0.750], [0.570, 0.125, 0.250], [0.875, 0.820, 0.750], [0.180, 0.625, 0.250], [0.250, 0.750, 0.500], [0.500, 0.500, 0.000], [0.750, 0.250, 0.500], [0.000, 0.000, 0.000]], "n_ef_per_ev_atom": 1.573, "total_energy_ev_per_atom": -4.571, "raw_formation_energy_ev_per_atom": 0.454}

# 5
{"formula": "Mn3TeAs", "functional": "PBE", "state": "optimized geometry", "cell": [[5.007, 0.000, 0.000], [0.000, 5.007, 0.000], [0.000, 0.000, 5.007]], "species": ["Mn", "Mn", "Mn", "As", "Te"], "fractional_positions": [[0.500, 0.000, 0.000], [0.000, 0.000, 0.500], [0.000, 0.500, 0.000], [0.500, 0.500, 0.500], [0.000, 0.000, 0.000]], "n_ef_per_ev_atom": 1.538, "de_polymorph_mev_per_atom": 606, "total_energy_ev_per_atom": -5.998, "raw_formation_energy_ev_per_atom": 1.062}

# 6
{"formula": "MnTe2As", "functional": "PBE", "state": "optimized geometry", "cell": [[5.103, 0.018, 0.017], [-1.582, 4.851, 0.017], [1.747, 2.417, 4.143]], "species": ["As", "Te", "Te", "Mn"], "fractional_positions": [[0.500, 0.000, 0.500], [0.500, 0.500, 0.000], [0.000, 0.000, 0.000], [0.000, 0.500, 0.500]], "n_ef_per_ev_atom": 0.460, "total_energy_ev_per_atom": -4.903, "raw_formation_energy_ev_per_atom": 0.123}

# 7
{"formula": "MnTeAs2", "functional": "PBE", "state": "optimized geometry", "cell": [[-3.024, -1.015, -1.860], [-0.285, -2.132, -3.002], [0.301, -5.842, 6.433]], "species": ["Te", "As", "As", "Mn"], "fractional_positions": [[0.250, 0.250, 0.250], [0.386, 0.386, 0.587], [0.114, 0.114, 0.913], [0.750, 0.750, 0.750]], "n_ef_per_ev_atom": 0.520, "total_energy_ev_per_atom": -5.374, "raw_formation_energy_ev_per_atom": 0.029}

# 8
{"formula": "Mn2TeAs", "functional": "PBE", "state": "optimized geometry", "cell": [[7.264, 0.013, 0.030], [-2.883, 3.539, 0.002], [1.497, 1.222, 2.695]], "species": ["Te", "As", "Mn", "Mn"], "fractional_positions": [[0.000, 0.500, 0.500], [0.500, 0.500, 0.000], [0.500, 0.000, 0.500], [0.000, 0.000, 0.000]], "n_ef_per_ev_atom": 0.791, "de_polymorph_mev_per_atom": 279, "total_energy_ev_per_atom": -6.312, "raw_formation_energy_ev_per_atom": 0.221}

# 9
{"formula": "MnTeAs2", "functional": "PBE", "state": "optimized geometry", "cell": [[-2.315, -1.092, 3.700], [-2.707, -2.261, -2.361], [1.801, -4.326, -0.149]], "species": ["Mn", "As", "As", "Te"], "fractional_positions": [[0.500, 0.250, 0.250], [0.000, 0.044, 0.076], [0.000, 0.456, 0.424], [0.500, 0.750, 0.750]], "n_ef_per_ev_atom": 0.533, "total_energy_ev_per_atom": -5.303, "raw_formation_energy_ev_per_atom": 0.100}

# 10
{"formula": "MnTe3As", "functional": "PBE", "state": "optimized geometry", "cell": [[4.988, 0.000, 0.000], [0.000, 4.988, 0.000], [0.000, 0.000, 4.988]], "species": ["As", "Te", "Te", "Te", "Mn"], "fractional_positions": [[0.500, 0.500, 0.500], [0.500, 0.000, 0.000], [0.000, 0.500, 0.000], [0.000, 0.000, 0.500], [0.000, 0.000, 0.000]], "n_ef_per_ev_atom": 1.517, "de_polymorph_mev_per_atom": 0, "total_energy_ev_per_atom": -4.047, "raw_formation_energy_ev_per_atom": 0.601}

# 11
{"formula": "MnTeAs2", "functional": "PBE", "state": "optimized geometry", "cell": [[-7.023, -0.439, 0.173], [-5.672, -3.778, 1.762], [-5.824, -0.490, 3.923]], "species": ["Mn", "As", "As", "Te"], "fractional_positions": [[0.505, 0.505, 0.505], [0.250, 0.250, 0.250], [0.986, 0.986, 0.986], [0.759, 0.759, 0.759]], "n_ef_per_ev_atom": 0.555, "total_energy_ev_per_atom": -5.310, "raw_formation_energy_ev_per_atom": 0.092}

# 12
{"formula": "Mn2TeAs", "functional": "PBE", "state": "optimized geometry", "cell": [[-1.122, 1.355, -2.516], [2.501, -0.843, -1.569], [-2.780, -5.272, -1.598]], "species": ["Mn", "Mn", "As", "Te"], "fractional_positions": [[0.000, 0.000, 0.525], [0.000, 0.000, 0.975], [0.500, 0.500, 0.750], [0.500, 0.500, 0.250]], "n_ef_per_ev_atom": 0.990, "de_polymorph_mev_per_atom": 419, "total_energy_ev_per_atom": -6.173, "raw_formation_energy_ev_per_atom": 0.360}

Please write out number 1 again, unchanged.
{"formula": "MnTe2As", "functional": "PBE", "state": "optimized geometry", "cell": [[5.075, 0.000, 0.000], [0.000, 5.075, 0.000], [0.000, 0.000, 3.569]], "species": ["As", "Te", "Te", "Mn"], "fractional_positions": [[0.500, 0.000, 0.500], [0.000, 0.000, 0.000], [0.500, 0.500, 0.000], [0.000, 0.500, 0.500]], "n_ef_per_ev_atom": 0.672, "total_energy_ev_per_atom": -4.656, "raw_formation_energy_ev_per_atom": 0.369}